A relaxed structure of RbTl2Hg, computed with PBE-GGA.

It has space group Fm-3m (No. 225), with a = 8.1333 Å, b = 8.1333 Å, c = 8.1333 Å, α = 90.00°, β = 90.00° and γ = 90.00°. The inequivalent atoms are Rb at (0.0000, 0.0000, 0.0000), Tl at (0.2500, 0.2500, 0.2500) and Hg at (0.0000, 0.0000, 0.5000).

For the density of states at the Fermi level, the calculation gives 0.98 states/eV per atom. The offset from the most stable computed form is 103 meV per atom. The calculation puts the formation energy at 3 meV/atom. As for the crystal system: cubic.

---

A relaxed structure of K5Si3, computed with PBE-GGA.

It has space group P6_3/mcm (No. 193), with a = 11.3049 Å, b = 11.3049 Å, c = 5.3248 Å, α = 90.00°, β = 90.00° and γ = 120.00°. The inequivalent atoms are K at (0.0000, 0.2525, 0.2500), K at (0.3333, 0.6667, 0.0000) and Si at (0.0000, 0.4672, 0.7500).

For the density of states at the Fermi level, the calculation gives 0.62 states/eV per atom. The offset from the most stable computed form is 72 meV per atom. The formation energy from raw total energies comes out at 0.40 eV per atom. As for the crystal system: hexagonal.

---

A relaxed structure of Nb3V, computed with PBE-GGA.

It has space group Cmcm (No. 63), with a = 6.5183 Å, b = 9.1427 Å, c = 4.6180 Å, α = 90.00°, β = 90.00° and γ = 90.00°. The inequivalent atoms are Nb at (0.0000, 0.1269, 0.2500), Nb at (0.2447, 0.3764, 0.2500) and V at (0.0000, 0.3788, 0.7500).

For the density of states at the Fermi level, the calculation gives 1.92 states/eV per atom. The offset from the most stable computed form is 14 meV per atom. The calculation puts the formation energy at 44 meV/atom. As for the crystal system: orthorhombic.

---

A relaxed structure of Ca5CN6, computed with PBE-GGA.

It has space group C2/m (No. 12), with a = 6.0672 Å, b = 15.5647 Å, c = 4.6130 Å, α = 90.00°, β = 93.65° and γ = 90.00°. The inequivalent atoms are Ca at (0.0000, 0.0000, 0.0000), Ca at (0.0000, 0.1925, 0.5000), Ca at (0.0000, 0.3636, 0.0000), C at (0.0000, 0.5000, 0.5000), N at (0.1276, 0.5000, 0.7226) and N at (0.2470, 0.2496, 0.8559).

For the density of states at the Fermi level, the calculation gives 0.44 states/eV per atom. The formation energy from raw total energies comes out at -0.43 eV per atom. As for the crystal system: monoclinic.

---

A relaxed structure of Pr3Dy7Er2, computed with PBE-GGA.

It has space group P2/m (No. 10), with a = 5.8513 Å, b = 3.5769 Å, c = 18.8438 Å, α = 90.00°, β = 93.00° and γ = 90.00°. The inequivalent atoms are Pr at (0.0000, 0.0000, 0.0000), Pr at (0.2782, 0.5000, 0.6339), Dy at (0.1913, 0.5000, 0.1443), Dy at (0.2430, 0.0000, 0.4625), Dy at (0.3065, 0.0000, 0.8236), Dy at (0.5000, 0.5000, 0.0000) and Er at (0.2112, 0.0000, 0.2926).

For the density of states at the Fermi level, the calculation gives 1.26 states/eV per atom. The offset from the most stable computed form is 0 meV per atom. The calculation puts the formation energy at 87 meV/atom. As for the crystal system: monoclinic.

---

A relaxed structure of KPb2Au, computed with PBE-GGA.

It has space group C2/c (No. 15), with a = 6.9813 Å, b = 13.2177 Å, c = 6.0852 Å, α = 90.00°, β = 111.03° and γ = 90.00°. The inequivalent atoms are K at (0.0000, 0.1195, 0.2500), Pb at (0.1201, 0.3932, 0.0662) and Au at (0.0000, 0.2191, 0.7500).

For the density of states at the Fermi level, the calculation gives 0.43 states/eV per atom. The calculation puts the formation energy at -169 meV/atom. As for the crystal system: monoclinic.

---

A relaxed structure of Se3BrCl, computed with PBE-GGA.

It has space group Pm-3m (No. 221), with a = 5.2188 Å, b = 5.2188 Å, c = 5.2188 Å, α = 90.00°, β = 90.00° and γ = 90.00°. The inequivalent atoms are Se at (0.0000, 0.0000, 0.5000), Br at (0.0000, 0.0000, 0.0000) and Cl at (0.5000, 0.5000, 0.5000).

For the density of states at the Fermi level, the calculation gives 1.35 states/eV per atom. The offset from the most stable computed form is 900 meV per atom. The formation energy from raw total energies comes out at 1.02 eV per atom. As for the crystal system: cubic.

---

A relaxed structure of Nd5Ho2TmSc, computed with PBE-GGA.

It has space group Cmc2_1 (No. 36), with a = 5.3633 Å, b = 21.8337 Å, c = 10.2359 Å, α = 90.00°, β = 90.00° and γ = 90.00°. The inequivalent atoms are Nd at (0.0000, 0.9999, 0.0000), Nd at (0.0000, 0.1271, 0.2502), Nd at (0.0000, 0.2213, 0.5628), Nd at (0.0000, 0.2208, 0.9386), Nd at (0.0000, 0.5002, 0.2501), Ho at (0.0000, 0.3846, 0.0025), Ho at (0.0000, 0.3850, 0.4977), Tm at (0.0000, 0.1015, 0.7501) and Sc at (0.0000, 0.2878, 0.2507).

For the density of states at the Fermi level, the calculation gives 1.43 states/eV per atom. The calculation puts the formation energy at 125 meV/atom. As for the crystal system: orthorhombic.

---

A relaxed structure of V2FeNi, computed with PBE-GGA.

It has space group P4/mmm (No. 123), with a = 2.6295 Å, b = 2.6295 Å, c = 6.9090 Å, α = 90.00°, β = 90.00° and γ = 90.00°. The inequivalent atoms are V at (0.0000, 0.0000, 0.2351), Fe at (0.5000, 0.5000, 0.0000) and Ni at (0.5000, 0.5000, 0.5000).

For the density of states at the Fermi level, the calculation gives 1.09 states/eV per atom. The calculation puts the formation energy at -104 meV/atom. As for the crystal system: tetragonal.

---

A relaxed structure of ZrTa3Ga, computed with PBE-GGA.

It has space group Pm-3m (No. 221), with a = 4.9121 Å, b = 4.9121 Å, c = 4.9121 Å, α = 90.00°, β = 90.00° and γ = 90.00°. The inequivalent atoms are Zr at (0.0000, 0.0000, 0.0000), Ta at (0.0000, 0.0000, 0.5000) and Ga at (0.5000, 0.5000, 0.5000).

For the density of states at the Fermi level, the calculation gives 1.32 states/eV per atom. The offset from the most stable computed form is 967 meV per atom. The calculation puts the formation energy at 1921 meV/atom. As for the crystal system: cubic.

---

A relaxed structure of BeCoGePt, computed with PBE-GGA.

It has space group F-43m (No. 216), with a = 5.8195 Å, b = 5.8195 Å, c = 5.8195 Å, α = 90.00°, β = 90.00° and γ = 90.00°. The inequivalent atoms are Be at (0.0000, 0.0000, 0.0000), Co at (0.2500, 0.2500, 0.2500), Ge at (0.0000, 0.0000, 0.5000) and Pt at (0.2500, 0.2500, 0.7500).

For the density of states at the Fermi level, the calculation gives 0.42 states/eV per atom. The calculation puts the formation energy at -271 meV/atom. As for the crystal system: cubic.

---

A relaxed structure of CsSn6Pb2, computed with PBE-GGA.

It has space group Immm (No. 71), with a = 4.8277 Å, b = 8.1934 Å, c = 15.7798 Å, α = 90.00°, β = 90.00° and γ = 90.00°. The inequivalent atoms are Cs at (0.0000, 0.0000, 0.0000), Sn at (0.0000, 0.1781, 0.5000), Sn at (0.0000, 0.3057, 0.3035) and Pb at (0.0000, 0.5000, 0.1143).

For the density of states at the Fermi level, the calculation gives 0.46 states/eV per atom. The calculation puts the formation energy at 1 meV/atom. As for the crystal system: orthorhombic.

---

A relaxed structure of LiCu2P, computed with PBE-GGA.

It has space group I-4m2 (No. 119), with a = 3.7491 Å, b = 3.7491 Å, c = 6.9390 Å, α = 90.00°, β = 90.00° and γ = 90.00°. The inequivalent atoms are Li at (0.0000, 0.0000, 0.0000), Cu at (0.0000, 0.0000, 0.5000), Cu at (0.0000, 0.5000, 0.7500) and P at (0.0000, 0.5000, 0.2500).

For the density of states at the Fermi level, the calculation gives 0.23 states/eV per atom. The calculation puts the formation energy at -156 meV/atom. As for the crystal system: tetragonal.

---

A relaxed structure of Pr2SO2, computed with PBE-GGA.

It has space group P-3m1 (No. 164), with a = 4.0198 Å, b = 4.0198 Å, c = 6.9021 Å, α = 90.00°, β = 90.00° and γ = 120.00°. The inequivalent atoms are Pr at (0.3333, 0.6667, 0.2801), S at (0.0000, 0.0000, 0.0000) and O at (0.3333, 0.6667, 0.6295).

For the density of states at the Fermi level, the calculation gives 0.00 states/eV per atom. The formation energy from raw total energies comes out at -3.04 eV per atom. As for the crystal system: trigonal.

---

A relaxed structure of Ca2Ac15Tb2, computed with PBE-GGA.

It has space group R-3m (No. 166, hexagonal axes), with a = 12.6145 Å, b = 12.6145 Å, c = 19.2080 Å, α = 90.00°, β = 90.00° and γ = 120.00°. The inequivalent atoms are Ca at (0.0000, 0.0000, 0.1748), Ac at (0.0000, 0.2933, 0.5000), Ac at (0.0000, 0.5000, 0.0000), Ac at (0.0016, 0.5008, 0.6426) and Tb at (0.0000, 0.0000, 0.4082).

For the density of states at the Fermi level, the calculation gives 1.56 states/eV per atom. The calculation puts the formation energy at 267 meV/atom. As for the crystal system: trigonal.

---

A relaxed structure of Ca3TmPd4, computed with PBE-GGA.

It has space group P4/mmm (No. 123), with a = 3.5034 Å, b = 3.5034 Å, c = 14.1696 Å, α = 90.00°, β = 90.00° and γ = 90.00°. The inequivalent atoms are Ca at (0.0000, 0.0000, 0.0000), Ca at (0.0000, 0.0000, 0.2495), Tm at (0.0000, 0.0000, 0.5000), Pd at (0.5000, 0.5000, 0.1258) and Pd at (0.5000, 0.5000, 0.3881).

For the density of states at the Fermi level, the calculation gives 0.32 states/eV per atom. The calculation puts the formation energy at -765 meV/atom. As for the crystal system: tetragonal.

---

A relaxed structure of LiAg3F3, computed with PBE-GGA.

It has space group P2_1/c (No. 14), with a = 6.3064 Å, b = 7.5545 Å, c = 10.3317 Å, α = 90.00°, β = 115.92° and γ = 90.00°. The inequivalent atoms are Li at (0.1489, 0.1023, 0.1220), Ag at (0.2332, 0.6652, 0.0912), Ag at (0.3649, 0.0822, 0.8691), Ag at (0.4227, 0.7177, 0.8834), F at (0.0106, 0.1151, 0.9054), F at (0.1502, 0.1426, 0.6279) and F at (0.3713, 0.0715, 0.3240).

The formation energy from raw total energies comes out at -1.29 eV per atom. As for the crystal system: monoclinic.

---

A relaxed structure of CoSb2Pd2, computed with PBE-GGA.

It has space group P4/mbm (No. 127), with a = 6.7367 Å, b = 6.7367 Å, c = 4.0488 Å, α = 90.00°, β = 90.00° and γ = 90.00°. The inequivalent atoms are Co at (0.0000, 0.0000, 0.0000), Sb at (0.1597, 0.3403, 0.0000) and Pd at (0.1481, 0.6481, 0.5000).

For the density of states at the Fermi level, the calculation gives 0.79 states/eV per atom. The offset from the most stable computed form is 0 meV per atom. The formation energy from raw total energies comes out at -0.02 eV per atom. As for the crystal system: tetragonal.

---

A relaxed structure of ZnCuRe2, computed with PBE-GGA.

It has space group Cmm2 (No. 35), with a = 2.9143 Å, b = 4.4870 Å, c = 8.8560 Å, α = 90.00°, β = 90.00° and γ = 90.00°. The inequivalent atoms are Zn at (0.0000, 0.0000, 0.0000), Cu at (0.0000, 0.5000, 0.7649), Re at (0.0000, 0.0000, 0.5117) and Re at (0.0000, 0.5000, 0.2632).

For the density of states at the Fermi level, the calculation gives 0.60 states/eV per atom. The offset from the most stable computed form is 164 meV per atom. The calculation puts the formation energy at 223 meV/atom. As for the crystal system: orthorhombic.

---

A relaxed structure of Tl3P, computed with PBE-GGA.

It has space group Pmm2 (No. 25), with a = 3.8900 Å, b = 3.9534 Å, c = 7.6552 Å, α = 90.00°, β = 90.00° and γ = 90.00°. The inequivalent atoms are Tl at (0.0000, 0.0000, 0.0000), Tl at (0.0000, 0.5000, 0.3888), Tl at (0.5000, 0.5000, 0.7401) and P at (0.5000, 0.0000, 0.2622).

For the density of states at the Fermi level, the calculation gives 0.37 states/eV per atom. The calculation puts the formation energy at 202 meV/atom. As for the crystal system: orthorhombic.

---

A relaxed structure of LaWSN2, computed with PBE-GGA.

It has space group P4/mmm (No. 123), with a = 4.0496 Å, b = 4.0496 Å, c = 4.7504 Å, α = 90.00°, β = 90.00° and γ = 90.00°. The inequivalent atoms are La at (0.0000, 0.0000, 0.0000), W at (0.5000, 0.5000, 0.5000), S at (0.5000, 0.5000, 0.0000) and N at (0.0000, 0.5000, 0.5000).

For the density of states at the Fermi level, the calculation gives 0.52 states/eV per atom. The offset from the most stable computed form is 0 meV per atom. The formation energy from raw total energies comes out at -0.80 eV per atom. As for the crystal system: tetragonal.

---

A relaxed structure of IrRhAu2, computed with PBE-GGA.

It has space group C2/m (No. 12), with a = 9.3853 Å, b = 2.8352 Å, c = 4.9053 Å, α = 90.00°, β = 100.16° and γ = 90.00°. The inequivalent atoms are Ir at (0.0000, 0.0000, 0.0000), Rh at (0.0000, 0.5000, 0.5000) and Au at (0.2492, 0.5000, 0.2498).

For the density of states at the Fermi level, the calculation gives 1.45 states/eV per atom. The offset from the most stable computed form is 158 meV per atom. The calculation puts the formation energy at 300 meV/atom. As for the crystal system: monoclinic.

---

A relaxed structure of SrMgIr2, computed with PBE-GGA.

It has space group Pmmm (No. 47), with a = 3.2561 Å, b = 4.6116 Å, c = 5.0157 Å, α = 90.00°, β = 90.00° and γ = 90.00°. The inequivalent atoms are Sr at (0.0000, 0.0000, 0.0000), Mg at (0.5000, 0.0000, 0.5000), Ir at (0.0000, 0.5000, 0.5000) and Ir at (0.5000, 0.5000, 0.0000).

For the density of states at the Fermi level, the calculation gives 0.64 states/eV per atom. The calculation puts the formation energy at 290 meV/atom. As for the crystal system: orthorhombic.

---

A relaxed structure of B2C, computed with PBE-GGA.

It has space group C2/m (No. 12), with a = 8.9915 Å, b = 2.7014 Å, c = 7.7016 Å, α = 90.00°, β = 118.42° and γ = 90.00°. The inequivalent atoms are B at (0.0513, 0.0000, 0.1265), B at (0.0982, 0.0000, 0.5959), B at (0.1097, 0.5000, 0.7922), B at (0.1896, 0.0000, 0.9898), C at (0.0864, 0.5000, 0.2419) and C at (0.2411, 0.5000, 0.4387).

For the density of states at the Fermi level, the calculation gives 0.11 states/eV per atom. The offset from the most stable computed form is 217 meV per atom. The calculation puts the formation energy at 402 meV/atom. As for the crystal system: monoclinic.

---

| no. | total DFT energy (no corrections) (eV/atom) |
| --- | --- |
| 1 | -1.50 |
| 2 | -2.32 |
| 3 | -9.79 |
| 4 | -6.19 |
| 5 | -4.55 |
| 6 | -3.12 |
| 7 | -1.77 |
| 8 | -4.74 |
| 9 | -8.22 |
| 10 | -7.51 |
| 11 | -5.64 |
| 12 | -3.59 |
| 13 | -4.03 |
| 14 | -7.76 |
| 15 | -3.67 |
| 16 | -4.67 |
| 17 | -3.58 |
| 18 | -5.16 |
| 19 | -7.34 |
| 20 | -2.93 |
| 21 | -8.54 |
| 22 | -5.39 |
| 23 | -4.96 |
| 24 | -7.12 |